(1)
DFT (PBE) results for a relaxed structure of TcTeAs2.

Computed properties:
For the calculated total energy, the calculation gives -5.440 eV/atom. For the formation energy (no corrections), the calculation gives 0.262 eV/atom. Its density of states at the Fermi level is 2.89 states/eV/f.u. As for the space-group type: C2/m (12).

Unit cell a=4.7332 b=4.7332 c=5.4819 alpha=101.58 beta=101.58 gamma=41.02
With the nearest neighbours (Å) after each atom.
Element x y z (fractional)
Tc (0.0000, 0.0000, 0.0000)  6 As 2.61-2.85
Te (0.5000, 0.5000, 0.5000)  6 As 2.90-3.15, 4 Tc 3.20
As (0.2767, 0.2767, 0.8157)  3 Tc 2.61-2.85, 2 As 2.73, 1 Te 2.90
As (0.7233, 0.7233, 0.1843)  3 Tc 2.61-2.85, 2 As 2.73, 1 Te 2.90

---

(2)
DFT (PBE) results for a relaxed structure of Tc2TeAs.

Computed properties:
For the calculated total energy, the calculation gives -6.590 eV/atom. For the formation energy (no corrections), the calculation gives 0.540 eV/atom. Its density of states at the Fermi level is 3.30 states/eV/f.u. As for the space-group type: Immm (71).

Unit cell a=5.1437 b=5.1437 c=5.1437 alpha=142.73 beta=119.52 gamma=73.24
With the nearest neighbours (Å) after each atom.
Element x y z (fractional)
Tc (0.2193, 0.2193, 0.0000)  2 As 2.45
Tc (0.7807, 0.7807, 0.0000)  2 As 2.45
Te (0.5000, 0.0000, 0.5000)  8 Tc 2.84-3.16, 4 As 3.07
As (0.0000, 0.5000, 0.5000)  4 Tc 2.45

---

Please write out number 1 again, unchanged.
DFT (PBE) results for a relaxed structure of TcTeAs2.

Computed properties:
For the calculated total energy, the calculation gives -5.440 eV/atom. For the formation energy (no corrections), the calculation gives 0.262 eV/atom. Its density of states at the Fermi level is 2.89 states/eV/f.u. As for the space-group type: C2/m (12).

Unit cell a=4.7332 b=4.7332 c=5.4819 alpha=101.58 beta=101.58 gamma=41.02
With the nearest neighbours (Å) after each atom.
Element x y z (fractional)
Tc (0.0000, 0.0000, 0.0000)  6 As 2.61-2.85
Te (0.5000, 0.5000, 0.5000)  6 As 2.90-3.15, 4 Tc 3.20
As (0.2767, 0.2767, 0.8157)  3 Tc 2.61-2.85, 2 As 2.73, 1 Te 2.90
As (0.7233, 0.7233, 0.1843)  3 Tc 2.61-2.85, 2 As 2.73, 1 Te 2.90

---

Question: Among the records above, which one has the lowest formation energy (no corrections)?
Answer: TcTeAs2

---

Question: What is the formula in the first record?
Answer: TcTeAs2

---

Question: What is the calculated total energy in the first record?
Answer: -5.440 eV/atom